A relaxed TiTcW crystal, computed with PBE.

- offset from the most stable computed form (eV/atom) = 0.105

Cell lengths 10.022, 3.121, 6.245 Å; angles 90.00, 108.10, 90.00 degrees
Atoms (fractional coordinates):
Ti  0.000  0.000  0.000
Ti  0.000  0.000  0.500
Ti  0.500  0.500  0.000
Ti  0.500  0.500  0.500
Tc  0.168  0.500  0.335
Tc  0.332  0.000  0.665
Tc  0.668  0.000  0.335
Tc  0.832  0.500  0.665
W  0.173  0.500  0.834
W  0.327  0.000  0.166
W  0.673  0.000  0.834
W  0.827  0.500  0.166



A relaxed PmPrSm2 crystal, computed with PBE.

- offset from the most stable computed form (eV/atom) = 0.156

Cell lengths 3.558, 3.558, 38.163 Å; angles 90.00, 90.00, 120.00 degrees
Atoms (fractional coordinates):
Pm  0.000  0.000  0.000
Pm  0.333  0.667  0.667
Pm  0.667  0.333  0.333
Pr  0.000  0.000  0.500
Pr  0.333  0.667  0.167
Pr  0.667  0.333  0.833
Sm  0.000  0.000  0.410
Sm  0.000  0.000  0.590
Sm  0.333  0.667  0.077
Sm  0.333  0.667  0.256
Sm  0.667  0.333  0.744
Sm  0.667  0.333  0.923



A relaxed GeBiSe3 crystal, computed with PBE.

- ΔE_f (raw) (meV/atom) = -180
- offset from the most stable computed form (eV/atom) = 0.000

Cell lengths 3.801, 6.925, 11.910 Å; angles 106.12, 90.12, 105.78 degrees
Atoms (fractional coordinates):
Ge  0.247  0.004  0.294
Ge  0.753  0.996  0.706
Bi  0.489  0.487  0.167
Bi  0.511  0.513  0.833
Se  0.101  0.700  0.699
Se  0.125  0.760  0.089
Se  0.353  0.198  0.623
Se  0.647  0.802  0.377
Se  0.875  0.240  0.911
Se  0.899  0.300  0.301



A relaxed La2AsRh crystal, computed with PBE.

- E (eV/atom) = -6.5391

Cell lengths 4.178, 23.780, 4.344 Å; angles 90.00, 90.00, 90.00 degrees
Atoms (fractional coordinates):
La  0.000  0.063  0.250
La  0.000  0.319  0.250
La  0.000  0.681  0.750
La  0.000  0.937  0.750
La  0.500  0.181  0.750
La  0.500  0.437  0.750
La  0.500  0.563  0.250
La  0.500  0.819  0.250
As  0.000  0.189  0.250
As  0.000  0.811  0.750
As  0.500  0.311  0.750
As  0.500  0.689  0.250
Rh  0.000  0.458  0.250
Rh  0.000  0.542  0.750
Rh  0.500  0.042  0.750
Rh  0.500  0.958  0.250



A relaxed Pm2Cu4Sn3Ge crystal, computed with PBE.

- E (eV/atom) = -4.6615

Cell lengths 4.385, 4.385, 10.591 Å; angles 90.00, 90.00, 90.00 degrees
Atoms (fractional coordinates):
Pm  0.000  0.500  0.250
Pm  0.500  0.000  0.750
Cu  0.000  0.000  0.000
Cu  0.000  0.500  0.629
Cu  0.500  0.000  0.371
Cu  0.500  0.500  0.000
Sn  0.000  0.500  0.867
Sn  0.500  0.000  0.133
Sn  0.500  0.500  0.500
Ge  0.000  0.000  0.500



A relaxed Ag2AuSe crystal, computed with PBE.

- ΔE_f (raw) (meV/atom) = 143

Cell lengths 6.741, 6.741, 6.741 Å; angles 90.00, 90.00, 90.00 degrees
Atoms (fractional coordinates):
Ag  0.000  0.000  0.000
Ag  0.000  0.500  0.500
Ag  0.250  0.250  0.250
Ag  0.250  0.750  0.750
Ag  0.500  0.000  0.500
Ag  0.500  0.500  0.000
Ag  0.750  0.250  0.750
Ag  0.750  0.750  0.250
Au  0.000  0.000  0.500
Au  0.000  0.500  0.000
Au  0.500  0.000  0.000
Au  0.500  0.500  0.500
Se  0.250  0.250  0.750
Se  0.250  0.750  0.250
Se  0.750  0.250  0.250
Se  0.750  0.750  0.750



The following M_tot values (in μB per formula unit) correspond, in order, to the records above: 0.00, 0.00, 0.00, 0.00, 0.00, 0.00.